[1]
This record from Alexandria via LeMat-Bulk describes SrFeHg2 after structural relaxation. The functional is PBE.

Structure (POSCAR):
```
SrFeHg2
1.0
4.7324 0.0000 0.0000
0.0000 4.7324 0.0000
0.0000 0.0000 4.4408
Sr Fe Hg
1 1 2
Cartesian
0.0000 0.0000 0.0000
2.3662 2.3662 0.0000
0.0000 2.3662 2.2204
2.3662 0.0000 2.2204
```

Calculated values
ΔE_f (eV/atom): 0.23
SG: P4/mmm, No. 123

---

[2]
This record from Alexandria via LeMat-Bulk describes As2Ir after structural relaxation. The functional is PBE.

Structure (POSCAR):
```
As2Ir
1.0
6.9320 0.0000 0.0000
-3.4660 6.0033 0.0000
0.0000 0.0000 3.7158
As Ir
6 3
Cartesian
-0.9367 1.6223 0.0000
-2.0989 3.6355 1.8579
1.8733 0.0000 0.0000
1.3671 2.3678 1.8579
4.1979 0.0000 1.8579
2.5294 4.3810 0.0000
0.0000 0.0000 1.8579
0.0000 4.0022 0.0000
3.4660 2.0011 0.0000
```

Calculated values
ΔE_f (eV/atom): 0.05
SG: P-62m, No. 189

---

[3]
This record from Alexandria via LeMat-Bulk describes CdBPt3 after structural relaxation. The functional is PBE.

Structure (POSCAR):
```
CdBPt3
1.0
2.8293 0.0000 0.0000
0.0000 3.5776 4.0315
0.0000 -3.5776 4.0315
Cd B Pt
1 1 3
Cartesian
0.0000 0.0000 0.0000
1.4147 0.0000 3.6731
0.0000 0.0000 5.2065
1.4147 -1.3810 2.1729
1.4147 1.3810 2.1729
```

Calculated values
ΔE_f (eV/atom): -0.12
SG: Amm2, No. 38

---

[4]
This record from Alexandria via LeMat-Bulk describes Nd11Sm4Tm9 after structural relaxation. The functional is PBE.

Structure (POSCAR):
```
Nd11Sm4Tm9
1.0
8.4502 -12.7904 0.0000
8.4502 12.7904 0.0000
0.0000 0.0000 3.6953
Nd Sm Tm
11 4 9
Cartesian
0.0000 0.0000 0.0000
3.7976 4.6338 0.0000
8.4502 8.6973 0.0000
4.9001 0.0000 0.0000
8.4502 3.4043 0.0000
3.7976 -4.6338 0.0000
13.1028 4.6338 0.0000
8.4502 -3.4043 0.0000
12.0003 0.0000 0.0000
8.4502 -8.6973 0.0000
13.1028 -4.6338 0.0000
5.8161 2.5781 1.8476
5.8161 -2.5781 1.8476
11.0843 2.5781 1.8476
11.0843 -2.5781 1.8476
2.3451 1.8669 1.8476
6.7388 5.9914 1.8476
2.3451 -1.8669 1.8476
10.1616 5.9914 1.8476
8.4502 0.0000 1.8476
6.7388 -5.9914 1.8476
14.5553 1.8669 1.8476
10.1616 -5.9914 1.8476
14.5553 -1.8669 1.8476
```

Calculated values
ΔE_f (eV/atom): 0.06
SG: Cmmm, No. 65

---

[5]
This record from Alexandria via LeMat-Bulk describes LaNdPSe after structural relaxation. The functional is PBE.

Structure (POSCAR):
```
LaNdPSe
1.0
2.0803 1.2010 7.3408
-2.0803 1.2010 7.3408
0.0000 -2.4021 7.3408
La Nd P Se
1 1 1 1
Cartesian
0.0000 0.0000 0.0000
0.0000 0.0000 4.0428
0.0000 0.0000 13.0222
0.0000 0.0000 9.3679
```

Calculated values
Formation energy without anion corrections (meV per atom): -1738
SG: R3m, No. 160

---

[6]
This record from Alexandria via LeMat-Bulk describes MnRe2Se after structural relaxation. The functional is PBE.

Structure (POSCAR):
```
MnRe2Se
1.0
2.9415 0.0000 0.0000
0.0000 3.7618 0.0000
-1.4693 0.0000 5.4653
Mn Re Se
1 2 1
Cartesian
0.0000 0.0000 0.0000
-0.0728 0.0000 2.7504
1.4999 1.8809 1.5354
0.0092 1.8809 4.5423
```

Calculated values
Formation energy without anion corrections (meV per atom): 326
SG: Pm, No. 6

---

[7]
This record from Alexandria via LeMat-Bulk describes LiCd2Pt after structural relaxation. The functional is PBE.

Structure (POSCAR):
```
LiCd2Pt
1.0
4.7041 -1.4784 0.0000
4.7041 1.4784 0.0000
-0.7680 0.0000 5.1457
Li Cd Pt
1 2 1
Cartesian
0.0000 0.0000 0.0000
1.7139 0.0000 3.8431
6.9262 0.0000 1.3026
4.3201 0.0000 2.5728
```

Calculated values
ΔE_f (eV/atom): -0.31
SG: C2/m, No. 12

---

[8]
This record from Alexandria via LeMat-Bulk describes NaCdOs3 after structural relaxation. The functional is PBE.

Structure (POSCAR):
```
NaCdOs3
1.0
4.5333 0.0000 0.0000
0.0000 4.5333 0.0000
0.0000 0.0000 4.5333
Na Cd Os
1 1 3
Cartesian
0.0000 0.0000 0.0000
2.2667 2.2667 2.2667
0.0000 0.0000 2.2667
0.0000 2.2667 0.0000
2.2667 0.0000 0.0000
```

Calculated values
ΔE_f (eV/atom): 2.91
SG: Pm-3m, No. 221

---

[9]
This record from Alexandria via LeMat-Bulk describes Au2Br after structural relaxation. The functional is PBE.

Structure (POSCAR):
```
Au2Br
1.0
-1.9317 1.9639 5.1999
1.9317 -1.9639 5.1999
1.9317 1.9639 -5.1999
Au Br
2 1
Cartesian
0.0000 0.0000 2.5708
0.0000 0.0000 7.8289
0.0000 0.0000 5.1999
```

Calculated values
Formation energy without anion corrections (meV per atom): 290
SG: Immm, No. 71

---

[10]
This record from Alexandria via LeMat-Bulk describes NdSn4Pd after structural relaxation. The functional is PBE.

Structure (POSCAR):
```
NdSn4Pd
1.0
2.2550 -14.8748 0.0000
2.2550 14.8748 0.0000
0.0000 0.0000 4.6046
Nd Sn Pd
2 8 2
Cartesian
2.2550 9.1084 0.0000
2.2550 -9.1084 0.0000
0.0000 0.0000 2.3023
2.2550 11.5397 2.3023
2.2550 6.4306 2.3023
2.2550 3.2964 0.0000
2.2550 0.0000 0.0000
2.2550 -3.2964 0.0000
2.2550 -6.4306 2.3023
2.2550 -11.5397 2.3023
2.2550 1.6367 2.3023
2.2550 -1.6367 2.3023
```

Calculated values
ΔE_f (eV/atom): -0.47
SG: Cmmm, No. 65

---

[11]
This record from Alexandria via LeMat-Bulk describes LiPrMg2 after structural relaxation. The functional is PBE.

Structure (POSCAR):
```
LiPrMg2
1.0
5.5304 0.0000 0.0000
0.0000 5.5304 0.0000
0.0000 0.0000 3.5634
Li Pr Mg
1 1 2
Cartesian
0.0000 0.0000 0.0000
2.7652 2.7652 0.0000
0.0000 2.7652 1.7817
2.7652 0.0000 1.7817
```

Calculated values
ΔE_f (eV/atom): 0.03
SG: P4/mmm, No. 123

---

[12]
This record from Alexandria via LeMat-Bulk describes K2RhBr after structural relaxation. The functional is PBE.

Structure (POSCAR):
```
K2RhBr
1.0
3.8133 -4.4345 0.0000
3.8133 4.4345 0.0000
0.0000 0.0000 3.5857
K Rh Br
2 1 1
Cartesian
1.9066 2.2173 0.0000
1.9066 -2.2173 0.0000
0.0000 0.0000 1.7928
3.8133 0.0000 1.7928
```

Calculated values
Formation energy without anion corrections (meV per atom): -81
SG: Cmmm, No. 65

---

Number 1: VASP energy -9.85 eV for the cell shown. Number 2: VASP energy -54.01 eV for the cell shown. Number 3: VASP energy -26.32 eV for the cell shown. Number 4: VASP energy -110.09 eV for the cell shown. Number 5: VASP energy -25.54 eV for the cell shown. Number 6: VASP energy -36.25 eV for the cell shown. Number 7: VASP energy -11.03 eV for the cell shown. Number 8: VASP energy -21.36 eV for the cell shown. Number 9: VASP energy -7.36 eV for the cell shown. Number 10: VASP energy -57.63 eV for the cell shown. Number 11: VASP energy -9.78 eV for the cell shown. Number 12: VASP energy -11.54 eV for the cell shown.